[1]
VASP calculation (GGA-PBE) on an optimized crystal structure of La4Tb5Pu.

Values from the calculation:
The calculation puts the electronic total energy at -5.515 eV/atom.

Cell lengths 17.0689, 3.4969, 11.3946 Å; angles 90.00, 95.10, 90.00 degrees
Space group C2/m (No. 12)
Asymmetric unit:
La  0.0184  0.0000  0.2338 (multiplicity 4)
La  0.1759  0.0000  0.7399 (multiplicity 4)
Tb  0.0000  0.5000  0.5000 (multiplicity 2)
Tb  0.1728  0.0000  0.0572 (multiplicity 4)
Tb  0.1763  0.0000  0.4245 (multiplicity 4)
Pu  0.0000  0.5000  0.0000 (multiplicity 2)

[2]
VASP calculation (GGA-PBE) on an optimized crystal structure of La14TbPu.

Values from the calculation:
The calculation puts the electronic total energy at -5.466 eV/atom.

Cell lengths 10.4227, 10.4301, 10.4276 Å; angles 90.00, 90.00, 90.00 degrees
Space group Amm2 (No. 38)
Asymmetric unit:
La  0.0000  0.0000  0.0000 (multiplicity 2)
La  0.0000  0.0000  0.4985 (multiplicity 2)
La  0.0000  0.2426  0.2490 (multiplicity 4)
La  0.2472  0.0000  0.7475 (multiplicity 4)
La  0.2568  0.2462  0.4995 (multiplicity 8)
La  0.2661  0.0000  0.2548 (multiplicity 4)
La  0.5000  0.2408  0.7472 (multiplicity 4)
Tb  0.5000  0.0000  0.9985 (multiplicity 2)
Pu  0.5000  0.0000  0.5003 (multiplicity 2)

[3]
VASP calculation (GGA-PBE) on an optimized crystal structure of La12Tb6Pu.

Values from the calculation:
The calculation puts the electronic total energy at -5.287 eV/atom.

Cell lengths 15.9490, 15.9490, 9.0082 Å; angles 90.00, 90.00, 120.00 degrees
Space group R-3 (No. 148, hexagonal axes)
Asymmetric unit:
La  0.0353  0.7556  0.3370 (multiplicity 18)
La  0.0754  0.5117  0.6660 (multiplicity 18)
Tb  0.0168  0.8811  0.6674 (multiplicity 18)
Pu  0.0000  0.0000  0.0000 (multiplicity 3)

[4]
VASP calculation (GGA-PBE) on an optimized crystal structure of La7Tb4Pu.

Values from the calculation:
The calculation puts the electronic total energy at -5.584 eV/atom.

Cell lengths 11.0205, 6.3555, 12.2179 Å; angles 90.00, 107.57, 90.00 degrees
Space group C2 (No. 5)
Asymmetric unit:
La  0.0000  0.0000  0.0000 (multiplicity 2)
La  0.0816  0.1617  0.7439 (multiplicity 4)
La  0.0822  0.6699  0.2564 (multiplicity 4)
La  0.2437  0.6709  0.7435 (multiplicity 4)
Tb  0.1668  0.3333  0.4998 (multiplicity 4)
Tb  0.1666  0.5011  0.0001 (multiplicity 4)
Pu  0.0000  0.8339  0.5000 (multiplicity 2)

Calculated values (μB per formula unit) of M_tot for the records, taken in order: 5.90; 6.80; 7.54; 6.62.